## VNiBAu2 (PBE)

Data for a geometry-optimized VNiBAu2 structure.

The structure belongs to space group P4/mmm (No. 123); the cell edges are 4.2572, 4.2572 and 4.0888 Å and the angles 90.00°, 90.00° and 90.00°. Symmetry generates all atoms from V at (0.0000, 0.0000, 0.0000), Ni at (0.5000, 0.5000, 0.0000), B at (0.0000, 0.0000, 0.5000) and Au at (0.0000, 0.5000, 0.5000).

The total energy comes out at -5.195 eV/atom. For the calculated volume, the calculation gives 14.8 A^3/atom.

## LaY2Sc (PBE)

Data for a geometry-optimized LaY2Sc structure.

The structure belongs to space group I-42d (No. 122); the cell edges are 8.6581, 8.6581 and 6.7519 Å and the angles 90.00°, 90.00° and 90.00°. Symmetry generates all atoms from La at (0.0000, 0.0000, 0.0000), Y at (0.2397, 0.2500, 0.6250) and Sc at (0.0000, 0.0000, 0.5000).

The total energy comes out at -5.628 eV/atom. For the calculated volume, the calculation gives 31.6 A^3/atom. The value obtained for the energy above the most stable polymorph in this dataset is 385 meV per atom.

## Li2TmIn9 (PBE)

Data for a geometry-optimized Li2TmIn9 structure.

The structure belongs to space group P4/mmm (No. 123); the cell edges are 4.5509, 4.5509 and 13.9182 Å and the angles 90.00°, 90.00° and 90.00°. Symmetry generates all atoms from Li at (0.0000, 0.0000, 0.1729), Tm at (0.0000, 0.0000, 0.5000), In at (0.0000, 0.5000, 0.0000), In at (0.0000, 0.5000, 0.3287), In at (0.5000, 0.5000, 0.1674) and In at (0.5000, 0.5000, 0.5000).

The total energy comes out at -2.940 eV/atom. For the calculated volume, the calculation gives 24.0 A^3/atom.

## Tb2CeO (PBE)

Data for a geometry-optimized Tb2CeO structure.

The structure belongs to space group P4/mmm (No. 123); the cell edges are 3.1496, 3.1496 and 8.7355 Å and the angles 90.00°, 90.00° and 90.00°. Symmetry generates all atoms from Tb at (0.0000, 0.0000, 0.1764), Ce at (0.5000, 0.5000, 0.5000) and O at (0.5000, 0.5000, 0.0000).

The total energy comes out at -5.858 eV/atom. For the calculated volume, the calculation gives 21.7 A^3/atom. The value obtained for the energy above the most stable polymorph in this dataset is 357 meV per atom. For the uncorrected formation energy, the calculation gives -0.820 eV/atom.